Compound: CsCd2FeB
Source: Alexandria via LeMat-Bulk
Functional: GGA-PBE
Structure: optimized geometry

Values from the calculation:
As for the space-group type: P4/mmm (123). The calculation puts the calculated formation energy at 785 meV per atom.

Lattice parameters (Å, degrees): 5.241 4.329 5.241 90.00 90.00 90.00
Sites, in units of the cell vectors:
B 0.000 0.000 0.000
Fe 0.000 0.500 0.000
Cd 0.000 0.000 0.500
Cd 0.500 0.000 0.000
Cs 0.500 0.500 0.500

***

Compound: K3Al2Sb4
Source: Alexandria via LeMat-Bulk
Functional: GGA-PBE
Structure: optimized geometry

Values from the calculation:
The value obtained for the uncorrected formation energy is -315.0 meV per atom. The excess energy over the best structure of this formula in the dataset is 32.4 meV per atom. As for the space-group type: C2/m (12).

Lattice parameters (Å, degrees): 4.603 7.612 9.534 106.94 90.00 107.60
Sites, in units of the cell vectors:
Sb 0.290 0.581 0.939
Sb 0.880 0.759 0.607
Sb 0.710 0.419 0.061
Sb 0.120 0.241 0.393
Al 0.718 0.435 0.360
Al 0.282 0.565 0.640
K 0.000 0.000 0.000
K 0.596 0.192 0.684
K 0.404 0.808 0.316

***

Compound: HoBeS
Source: Alexandria via LeMat-Bulk
Functional: GGA-PBE
Structure: optimized geometry

Values from the calculation:
The value obtained for the uncorrected formation energy is -994.3 meV per atom. As for the space-group type: R-3m (166).

Lattice parameters (Å, degrees): 4.370 4.370 7.599 73.29 73.29 60.00
Sites, in units of the cell vectors:
Ho 0.422 0.422 0.735
Ho 0.578 0.578 0.265
S 0.719 0.719 0.843
S 0.281 0.281 0.157
Be 0.177 0.177 0.470
Be 0.823 0.823 0.530

***

Compound: USiRh
Source: Alexandria via LeMat-Bulk
Functional: GGA-PBE
Structure: optimized geometry

Values from the calculation:
The value obtained for the uncorrected formation energy is -631.9 meV per atom. As for the space-group type: P-6m2 (187).

Lattice parameters (Å, degrees): 3.343 4.301 4.301 120.00 90.00 90.00
Sites, in units of the cell vectors:
U 0.667 0.667 0.333
Rh 0.167 0.333 0.667
Si 0.167 0.000 0.000

***

Compound: CaScSb2
Source: Alexandria via LeMat-Bulk
Functional: GGA-PBE
Structure: optimized geometry

Values from the calculation:
The value obtained for the uncorrected formation energy is -659.6 meV per atom. The excess energy over the best structure of this formula in the dataset is 184.7 meV per atom. As for the space-group type: Pmmm (47).

Lattice parameters (Å, degrees): 4.601 5.671 4.063 90.00 90.00 90.00
Sites, in units of the cell vectors:
Ca 0.000 0.500 0.500
Sc 0.500 0.000 0.500
Sb 0.500 0.500 0.000
Sb 0.000 0.000 0.000

***

Compound: MnCoP
Source: Alexandria via LeMat-Bulk
Functional: GGA-PBE
Structure: optimized geometry

Values from the calculation:
As for the space-group type: P3m1 (156). The calculation puts the calculated formation energy at -57 meV per atom.

Lattice parameters (Å, degrees): 2.626 2.626 5.486 90.00 90.00 120.00
Sites, in units of the cell vectors:
Mn 0.667 0.333 0.351
P 0.333 0.667 0.666
Co 0.000 0.000 0.983

***

Compound: SrFePt2
Source: Alexandria via LeMat-Bulk
Functional: GGA-PBE
Structure: optimized geometry

Values from the calculation:
As for the space-group type: P4/mmm (123). The calculation puts the calculated formation energy at -270 meV per atom.

Lattice parameters (Å, degrees): 3.227 3.227 7.307 90.00 90.00 90.00
Sites, in units of the cell vectors:
Sr 0.500 0.500 0.250
Pt 0.000 0.000 0.941
Pt 0.000 0.000 0.559
Fe 0.500 0.500 0.750

***

Compound: YCr2CoTc
Source: Alexandria via LeMat-Bulk
Functional: GGA-PBE
Structure: optimized geometry

Values from the calculation:
As for the space-group type: P4/mmm (123). The calculation puts the calculated formation energy at 1250 meV per atom.

Lattice parameters (Å, degrees): 4.548 5.304 4.548 90.00 90.00 90.00
Sites, in units of the cell vectors:
Tc 0.000 0.000 0.000
Cr 0.000 0.000 0.500
Cr 0.500 0.000 0.000
Co 0.500 0.500 0.500
Y 0.000 0.500 0.000

***

Compound: BaIn2Co
Source: Alexandria via LeMat-Bulk
Functional: GGA-PBE
Structure: optimized geometry

Values from the calculation:
As for the space-group type: R3m (160). The calculation puts the calculated formation energy at -50 meV per atom.

Lattice parameters (Å, degrees): 4.592 4.592 6.719 70.01 70.01 59.99
Sites, in units of the cell vectors:
Co 0.325 0.325 0.026
In 0.705 0.705 0.886
In 0.967 0.967 0.098
Ba 0.503 0.503 0.490

***

Compound: CaErGe4
Source: Alexandria via LeMat-Bulk
Functional: GGA-PBE
Structure: optimized geometry

Values from the calculation:
As for the space-group type: F-43m (216). The calculation puts the calculated formation energy at -303 meV per atom.

Lattice parameters (Å, degrees): 5.655 5.655 5.655 60.00 60.00 60.00
Sites, in units of the cell vectors:
Ca 0.000 0.000 0.000
Er 0.250 0.250 0.250
Ge 0.625 0.625 0.126
Ge 0.625 0.126 0.625
Ge 0.625 0.625 0.625
Ge 0.126 0.625 0.625

***

Compound: LiPaBr2
Source: Alexandria via LeMat-Bulk
Functional: GGA-PBE
Structure: optimized geometry

Values from the calculation:
The value obtained for the uncorrected formation energy is -797.6 meV per atom. As for the space-group type: R-3m (166).

Lattice parameters (Å, degrees): 3.606 3.606 9.220 78.72 78.72 60.00
Sites, in units of the cell vectors:
Pa 0.000 0.000 0.000
Li 0.500 0.500 0.500
Br 0.107 0.107 0.680
Br 0.893 0.893 0.320

***

Compound: Na2HfVSi
Source: Alexandria via LeMat-Bulk
Functional: GGA-PBE
Structure: optimized geometry

Values from the calculation:
The value obtained for the uncorrected formation energy is 1125.2 meV per atom. As for the space-group type: P4/mmm (123).

Lattice parameters (Å, degrees): 5.002 4.794 5.002 90.00 90.00 90.00
Sites, in units of the cell vectors:
Hf 0.500 0.500 0.500
Na 0.000 0.000 0.500
Na 0.500 0.000 0.000
Si 0.000 0.000 0.000
V 0.000 0.500 0.000